# LaSc2Zn GGA-PBE optimized geometry
# Magnetization ... 0.0 Bohr magnetons per cell
# Uncorrected energy ... -4.85 eV/atom
# DOS at the Fermi energy ... 1.227 states/eV per atom
data_LaSc2Zn
_space_group_name_H-M_alt 'P 4/m m m'
_space_group_IT_number 123
_space_group_name_Hall '-P 4 2'
_cell_length_a 3.406
_cell_length_b 3.406
_cell_length_c 8.479
_cell_angle_alpha 90.00
_cell_angle_beta 90.00
_cell_angle_gamma 90.00
loop_
_atom_site_label
_atom_site_type_symbol
_atom_site_fract_x
_atom_site_fract_y
_atom_site_fract_z
La1 La 0.000 0.000 0.000
Sc1 Sc 0.500 0.500 0.308
Zn1 Zn 0.000 0.000 0.500